(1)
{
  "formula": "Pm8Si2H",
  "functional": "GGA-PBE",
  "state": "relaxed",
  "vol_a3_per_cell": 305.1,
  "spacegroup": "C2/m",
  "dft_energy_ha_per_atom": -0.185,
  "cell": [[8.803, -2.039, 0.000], [8.803, 2.039, 0.000], [-1.285, 0.000, 8.500]],
  "species": ["Pm", "Pm", "Pm", "Pm", "Pm", "Pm", "Pm", "Pm", "Si", "Si", "H"],
  "frac_coords": [[0.002, 0.002, 0.203], [0.211, 0.211, 0.341], [0.347, 0.347, 0.992], [0.402, 0.402, 0.450], [0.598, 0.598, 0.550], [0.653, 0.653, 0.008], [0.789, 0.789, 0.659], [0.998, 0.998, 0.797], [0.183, 0.183, 0.771], [0.817, 0.817, 0.229], [0.500, 0.500, 0.000]]
}



(2)
{
  "formula": "Pm3SiH",
  "functional": "GGA-PBE",
  "state": "relaxed",
  "vol_a3_per_cell": 110.4,
  "e_above_lowest_polymorph_ev_per_fu": 0.16,
  "spacegroup": "Pm-3m",
  "dft_energy_ha_per_atom": -0.181,
  "cell": [[4.797, 0.000, 0.000], [0.000, 4.797, 0.000], [0.000, 0.000, 4.797]],
  "species": ["Pm", "Pm", "Pm", "Si", "H"],
  "frac_coords": [[0.000, 0.000, 0.500], [0.000, 0.500, 0.000], [0.500, 0.000, 0.000], [0.500, 0.500, 0.500], [0.000, 0.000, 0.000]]
}



(3)
{
  "formula": "Pm2SiH",
  "functional": "GGA-PBE",
  "state": "relaxed",
  "vol_a3_per_cell": 89.5,
  "e_above_lowest_polymorph_ev_per_fu": 0.00,
  "spacegroup": "R-3m",
  "dft_energy_ha_per_atom": -0.185,
  "cell": [[2.084, 1.203, 5.946], [-2.084, 1.203, 5.946], [0.000, -2.406, 5.946]],
  "species": ["Pm", "Pm", "Si", "H"],
  "frac_coords": [[0.244, 0.244, 0.244], [0.756, 0.756, 0.756], [0.000, 0.000, 0.000], [0.500, 0.500, 0.500]]
}